[1]
VASP calculation (PBE) on Sm6AlIn5 after structural relaxation. Values from VASP.

DOS at the Fermi energy	5.833	states/eV per cell
total DFT energy (no corrections)	-51.34	eV per cell

Structure (Quantum ESPRESSO input):
```
&SYSTEM
  ibrav = 0, nat = 12, ntyp = 3
/
ATOMIC_SPECIES
Al 26.98 Al.upf
Sm 150.36 Sm.upf
In 114.82 In.upf
CELL_PARAMETERS angstrom
-4.346 1.529 -2.788
-1.453 -7.275 -1.725
-6.696 0.088 5.270
ATOMIC_POSITIONS crystal
Al 0.000 0.000 0.000
Sm 0.836 0.752 0.328
Sm 0.836 0.248 0.328
Sm 0.500 0.245 0.000
Sm 0.500 0.755 0.000
Sm 0.164 0.752 0.672
Sm 0.164 0.248 0.672
In 0.668 0.500 0.664
In 0.332 0.000 0.337
In 0.000 0.500 0.000
In 0.668 0.000 0.663
In 0.332 0.500 0.336
```

***

[2]
VASP calculation (PBE) on Zn4W3 after structural relaxation. Values from VASP.

DOS at the Fermi energy	5.210	states/eV per cell
ΔE to the lowest computed polymorph	0	meV/atom

Structure (Quantum ESPRESSO input):
```
&SYSTEM
  ibrav = 0, nat = 7, ntyp = 2
/
ATOMIC_SPECIES
Zn 65.41 Zn.upf
W 183.84 W.upf
CELL_PARAMETERS angstrom
5.894 2.721 9.741
3.827 6.463 8.978
-6.536 -5.272 -8.156
ATOMIC_POSITIONS crystal
Zn 0.857 0.857 0.000
Zn 0.143 0.143 0.000
Zn 0.577 0.577 0.000
Zn 0.423 0.423 0.000
W 0.000 0.000 0.000
W 0.719 0.719 0.000
W 0.281 0.281 0.000
```

***

[3]
VASP calculation (PBE) on SrMnFe after structural relaxation. Values from VASP.

DOS at the Fermi energy	9.137	states/eV per cell
total DFT energy (no corrections)	-16.14	eV per cell

Structure (Quantum ESPRESSO input):
```
&SYSTEM
  ibrav = 0, nat = 3, ntyp = 3
/
ATOMIC_SPECIES
Fe 55.84 Fe.upf
Mn 54.94 Mn.upf
Sr 87.62 Sr.upf
CELL_PARAMETERS angstrom
-3.059 -3.126 -1.801
0.631 -4.627 0.748
-2.937 -2.355 2.864
ATOMIC_POSITIONS crystal
Fe 0.750 0.750 0.750
Mn 0.000 0.000 0.000
Sr 0.500 0.500 0.500
```

***

[4]
VASP calculation (PBE) on YAsPb after structural relaxation. Values from VASP.

DOS at the Fermi energy	1.907	states/eV per cell
ΔE to the lowest computed polymorph	0	meV/atom

Structure (Quantum ESPRESSO input):
```
&SYSTEM
  ibrav = 0, nat = 3, ntyp = 3
/
ATOMIC_SPECIES
Pb 207.20 Pb.upf
Y 88.91 Y.upf
As 74.92 As.upf
CELL_PARAMETERS angstrom
-0.157 -0.483 6.303
2.170 -3.327 4.920
3.138 1.866 1.444
ATOMIC_POSITIONS crystal
Pb 0.319 0.319 0.681
Y 0.617 0.617 0.383
As 0.064 0.064 0.936
```

***

[5]
VASP calculation (PBE) on ReMo after structural relaxation. Values from VASP.

DOS at the Fermi energy	4.058	states/eV per cell
ΔE to the lowest computed polymorph	99	meV/atom

Structure (Quantum ESPRESSO input):
```
&SYSTEM
  ibrav = 0, nat = 4, ntyp = 2
/
ATOMIC_SPECIES
Re 186.21 Re.upf
Mo 95.94 Mo.upf
CELL_PARAMETERS angstrom
2.787 0.010 -0.009
-0.007 4.832 0.032
-1.386 -0.825 4.609
ATOMIC_POSITIONS crystal
Re 0.370 0.621 0.240
Re 0.630 0.379 0.760
Mo 0.881 0.129 0.259
Mo 0.119 0.871 0.741
```

***

[6]
VASP calculation (PBE) on MgAsBr2N after structural relaxation. Values from VASP.

DOS at the Fermi energy	3.215	states/eV per cell
ΔE to the lowest computed polymorph	0	meV/atom

Structure (Quantum ESPRESSO input):
```
&SYSTEM
  ibrav = 0, nat = 5, ntyp = 4
/
ATOMIC_SPECIES
As 74.92 As.upf
Mg 24.30 Mg.upf
Br 79.90 Br.upf
N 14.01 N.upf
CELL_PARAMETERS angstrom
-3.087 0.283 3.336
-1.771 -3.988 -1.301
2.960 -2.271 2.931
ATOMIC_POSITIONS crystal
As 0.000 0.000 0.500
Mg 0.500 0.500 0.500
Br 0.000 0.500 0.000
Br 0.500 0.000 0.000
N 0.000 0.000 0.000
```